The following is a DFT calculation (meta-GGA SCAN) of a PBEsol-optimized structure of SnH2Rh.

The structure in POSCAR format:
```
SnH2Rh
1.0
-2.0026 2.0026 5.6847
2.0026 -2.0026 5.6847
2.0026 2.0026 -5.6847
Sn H Rh
2 4 2
Cartesian
0.0000 0.0000 0.0000
0.0000 2.0026 2.8424
1.0013 -0.0586 4.2635
1.9440 1.0013 1.4212
1.0013 2.0613 -1.4212
0.0586 1.0013 7.1059
2.0026 0.0000 2.8424
0.0000 0.0000 5.6847
```

Summary:
For the density of states at the Fermi level, the calculation gives 3.4 states/eV/cell. Its space group is I-42d (122). The value obtained for the raw total energy is -75.83 eV/f.u. As for the magnetic moment: 0.00 Bohr magnetons per cell.

=====

The following is a DFT calculation (meta-GGA SCAN) of a PBEsol-optimized structure of K3RbPb.

The structure in POSCAR format:
```
K3RbPb
1.0
6.8736 0.0000 0.0000
0.0000 6.8736 0.0000
0.0000 0.0000 6.8736
K Rb Pb
3 1 1
Cartesian
0.0000 0.0000 3.4368
0.0000 3.4368 0.0000
3.4368 0.0000 0.0000
3.4368 3.4368 3.4368
0.0000 0.0000 0.0000
```

Summary:
For the density of states at the Fermi level, the calculation gives 4.1 states/eV/cell. Its space group is Pm-3m (221). The value obtained for the raw total energy is -121.84 eV/f.u. As for the formation energy: -0.33 eV/f.u. As for the magnetic moment: 0.08 Bohr magnetons per cell.

=====

The following is a DFT calculation (meta-GGA SCAN) of a PBEsol-optimized structure of KOs3Pb.

The structure in POSCAR format:
```
KOs3Pb
1.0
4.6348 0.0000 0.0000
0.0000 4.6348 0.0000
0.0000 0.0000 4.6348
K Os Pb
1 3 1
Cartesian
0.0000 0.0000 0.0000
0.0000 0.0000 2.3174
0.0000 2.3174 0.0000
2.3174 0.0000 0.0000
2.3174 2.3174 2.3174
```

Summary:
For the density of states at the Fermi level, the calculation gives 6.1 states/eV/cell. Its space group is Pm-3m (221). The value obtained for the raw total energy is -280.19 eV/f.u. As for the formation energy: 19.56 eV/f.u. As for the magnetic moment: 3.62 Bohr magnetons per cell.

=====

The following is a DFT calculation (meta-GGA SCAN) of a PBEsol-optimized structure of FeTcTeOs2.

The structure in POSCAR format:
```
FeTcTeOs2
1.0
4.7175 0.0000 0.0000
0.0000 4.7175 0.0000
0.0000 0.0000 4.7240
Fe Tc Te Os
1 1 1 2
Cartesian
0.0000 0.0000 0.0000
2.3588 2.3588 0.0000
2.3588 2.3588 2.3620
0.0000 2.3588 2.3620
2.3588 0.0000 2.3620
```

Summary:
For the density of states at the Fermi level, the calculation gives 4.4 states/eV/cell. Its space group is P4/mmm (123). The value obtained for the raw total energy is -222.10 eV/f.u. As for the magnetic moment: 5.35 Bohr magnetons per cell.

=====

The following is a DFT calculation (meta-GGA SCAN) of a PBEsol-optimized structure of TlHIN2.

The structure in POSCAR format:
```
TlHIN2
1.0
4.9455 0.0000 0.0000
0.0000 4.9455 0.0000
0.0000 0.0000 3.7965
Tl H I N
1 1 1 2
Cartesian
0.0000 0.0000 0.0000
2.4727 2.4727 1.8982
2.4727 2.4727 0.0000
0.0000 2.4727 1.8982
2.4727 0.0000 1.8982
```

Summary:
For the density of states at the Fermi level, the calculation gives 1.1 states/eV/cell. Its space group is P4/mmm (123). The value obtained for the raw total energy is -122.13 eV/f.u. As for the magnetic moment: 5.16 Bohr magnetons per cell.

=====

The following is a DFT calculation (meta-GGA SCAN) of a PBEsol-optimized structure of Be3N2.

The structure in POSCAR format:
```
Be3N2
1.0
-4.0577 4.0577 4.0577
4.0577 -4.0577 4.0577
4.0577 4.0577 -4.0577
Be N
24 16
Cartesian
1.1838 0.9717 -0.9244
4.9821 1.1838 -0.9717
0.9717 -0.9244 1.1838
3.1333 2.8738 -0.9717
2.8738 0.9717 0.9244
5.0294 -0.9244 2.8738
5.0294 0.9244 1.1838
-0.9244 1.1838 0.9717
2.8738 -0.9717 3.1333
0.9717 0.9244 2.8738
0.9244 2.8738 0.9717
1.1838 -0.9717 4.9821
2.8738 5.0294 -0.9244
3.1333 1.1838 3.0860
3.0860 3.1333 1.1838
1.1838 5.0294 0.9244
4.9821 2.8738 3.0860
-0.9717 3.1333 2.8738
-0.9717 4.9821 1.1838
1.1838 3.0860 3.1333
0.9244 1.1838 5.0294
3.0860 4.9821 2.8738
-0.9244 2.8738 5.0294
2.8738 3.0860 4.9821
2.0288 2.0288 -2.0288
2.0288 -2.0288 2.0288
6.0865 0.1722 0.0000
4.0577 -2.0288 3.8854
3.8854 4.0577 -2.0288
3.8854 0.0000 2.0288
4.0577 2.0288 0.1722
2.0288 3.8854 0.0000
-2.0288 2.0288 2.0288
2.0288 2.0288 2.0288
2.0288 0.1722 4.0577
0.0000 2.0288 3.8854
0.1722 4.0577 2.0288
0.1722 0.0000 6.0865
0.0000 6.0865 0.1722
-2.0288 3.8854 4.0577
```

Summary:
For the density of states at the Fermi level, the calculation gives 0.0 states/eV/cell. Its space group is Ia-3 (206). The value obtained for the raw total energy is -38.01 eV/f.u. As for the magnetic moment: 0.00 Bohr magnetons per cell.

=====

The following is a DFT calculation (meta-GGA SCAN) of a PBEsol-optimized structure of Na2InPb2.

The structure in POSCAR format:
```
Na2InPb2
1.0
8.8847 0.0000 0.0000
0.0000 8.8847 0.0000
0.0000 0.0000 3.4704
Na In Pb
4 2 4
Cartesian
1.5754 2.8670 0.0000
2.8670 7.3093 0.0000
6.0178 1.5754 0.0000
7.3093 6.0178 0.0000
0.0000 0.0000 1.7352
4.4424 4.4424 1.7352
1.0903 5.5326 1.7352
3.3521 1.0903 1.7352
5.5326 7.7945 1.7352
7.7945 3.3521 1.7352
```

Summary:
For the density of states at the Fermi level, the calculation gives 4.5 states/eV/cell. Its space group is P4/mbm (127). The value obtained for the raw total energy is -194.22 eV/f.u. As for the formation energy: -0.84 eV/f.u. As for the magnetic moment: 0.00 Bohr magnetons per cell.

=====

The following is a DFT calculation (meta-GGA SCAN) of a PBEsol-optimized structure of LiY2Pd2.

The structure in POSCAR format:
```
LiY2Pd2
1.0
7.5119 0.0000 0.0000
0.0000 7.5119 0.0000
0.0000 0.0000 3.7624
Li Y Pd
2 4 4
Cartesian
0.0000 0.0000 0.0000
3.7559 3.7559 0.0000
1.2512 2.5047 1.8812
2.5047 6.2607 1.8812
5.0071 1.2512 1.8812
6.2607 5.0071 1.8812
0.9998 4.7557 0.0000
2.7561 0.9998 0.0000
4.7557 6.5120 0.0000
6.5120 2.7561 0.0000
```

Summary:
For the density of states at the Fermi level, the calculation gives 4.6 states/eV/cell. Its space group is P4/mbm (127). The value obtained for the raw total energy is -127.57 eV/f.u. As for the formation energy: -3.95 eV/f.u. As for the magnetic moment: 0.00 Bohr magnetons per cell.